Er3ZrSc | PBE | optimized geometry

The space group is P-1 (No. 2) and the conventional cell measures 3.471, 7.785 and 10.652 Å, with angles of 98.93, 99.38 and 90.01 degrees. The asymmetric unit holds Er at (0.084, 0.027, 0.167), Er at (0.113, 0.588, 0.227), Er at (0.294, 0.685, 0.588), Zr at (0.302, 0.099, 0.604) and Sc at (0.493, 0.699, 0.985).

The value obtained for the calculated density is 7.6 Mg/m³. Its magnetic moment is 0.000 μB/f.u. The value obtained for the excess energy over the best structure of this formula in the dataset is 0.0000 eV per atom.

ErZr2Sc | PBE | optimized geometry

The space group is R-3m (No. 166, hexagonal axes) and the conventional cell measures 3.2570, 3.2570 and 32.3484 Å, with angles of 90.00, 90.00 and 120.00 degrees. The asymmetric unit holds Er at (0.0000, 0.0000, 0.0000), Zr at (0.0000, 0.0000, 0.2481) and Sc at (0.0000, 0.0000, 0.5000).

The value obtained for the calculated density is 6.6 Mg/m³. Its magnetic moment is 0.000 μB/f.u. The value obtained for the excess energy over the best structure of this formula in the dataset is 0.0242 eV per atom.

ErZr14Sc | PBE | optimized geometry

The space group is Amm2 (No. 38) and the conventional cell measures 9.991, 7.438 and 10.198 Å, with angles of 90.00, 90.00 and 90.00 degrees. The asymmetric unit holds Er at (0.000, 0.000, 0.000), Zr at (0.000, 0.206, 0.718), Zr at (0.242, 0.000, 0.239), Zr at (0.254, 0.213, 0.518), Zr at (0.263, 0.000, 0.794), Zr at (0.500, 0.000, 0.033), Zr at (0.500, 0.000, 0.591), Zr at (0.500, 0.212, 0.312) and Sc at (0.000, 0.000, 0.439).

The value obtained for the calculated density is 6.5 Mg/m³. The calculation puts the electronic total energy at -8.11 eV per atom. Its magnetic moment is 0.000 μB/f.u.

- calculated density of number 2 (ErZr2Sc)?
  6.6 Mg/m³

- Which formula does entry 2 have?
  ErZr2Sc

- Which value of calculated density does entry 2 give?
  6.6 Mg/m³